First-principles (GGA-PBE) data for crystalline Ca2MoRu at its relaxed geometry, as listed in Alexandria via LeMat-Bulk.

## Properties
* symmetry: C2/m
* relative energy among the computed polymorphs: 1.98 eV per formula unit
* ΔE_f: 0.7190 eV per atom
* theoretical density: 5.7 g/cm3

a = 5.5867 Å, b = 5.5867 Å, c = 3.0065 Å
α = 89.89°, β = 89.89°, γ = 121.35°
Last column: nearest neighbours and their distance in Å.
Sites, in units of the cell vectors:
Ca: 0.0000 0.0000 0.0000  4 Ca 2.74-3.01
Ca: 0.5000 0.5000 0.0000  4 Ca 2.74-3.01
Mo: 0.5000 0.0000 0.5000  2 Ru 2.74, 2 Mo 3.01
Ru: 0.0000 0.5000 0.5000  2 Mo 2.74, 2 Ru 3.01